# DyNi3P3, relaxed, DFT PBE
# DOS at the Fermi energy in states/eV/atom: 0.650
# E_form in eV per atom: -0.558
data_DyNi3P3
_chemical_formula_sum 'Dy2 Ni6 P6'
_space_group_name_H-M_alt 'P m -3 n'
_space_group_IT_number 223
_space_group_name_Hall '-P 4n 2 3'
_cell_length_a 6.106
_cell_length_b 6.106
_cell_length_c 6.106
_cell_angle_alpha 90.00
_cell_angle_beta 90.00
_cell_angle_gamma 90.00
loop_
_atom_site_label
_atom_site_type_symbol
_atom_site_fract_x
_atom_site_fract_y
_atom_site_fract_z
_atom_site_occupancy
Dy1 Dy 0.000 0.000 0.000 1
Ni1 Ni 0.000 0.250 0.500 1
P1 P 0.000 0.500 0.250 1